1.
Material: AlCoAg
Method: DFT, PBE
State: relaxed

Summary:
Volume ... 42.99 Å³/cell
Calculated total energy ... -4.494 eV per atom

abc: 4.236 4.236 2.766
angles: 90.00 90.00 120.00
Each line ends with the local moment (μB).
Positions (direct):
Co  0.333  0.667  0.588  1.04
Al  0.667  0.333  0.386  -0.02
Ag  0.000  0.000  0.026  -0.01

2.
Material: AlCoAg
Method: DFT, PBE
State: relaxed

Summary:
Volume ... 48.14 Å³/cell
Calculated total energy ... -4.287 eV per atom

abc: 4.083 4.083 4.083
angles: 60.00 60.00 60.00
Positions (direct):
Co  0.000  0.000  0.000
Al  0.750  0.750  0.750
Ag  0.500  0.500  0.500

3.
Material: Al2CoAg
Method: DFT, PBE
State: relaxed

Summary:
Volume ... 55.94 Å³/cell
Calculated total energy ... -4.532 eV per atom

abc: 4.293 4.293 4.293
angles: 60.00 60.00 60.00
Positions (direct):
Co  0.000  0.000  0.000
Al  0.250  0.250  0.250
Al  0.750  0.750  0.750
Ag  0.500  0.500  0.500

4.
Material: Al2CoAg2
Method: DFT, PBE
State: relaxed

Summary:
Volume ... 87.30 Å³/cell
Calculated total energy ... -3.705 eV per atom

abc: 7.059 7.059 7.059
angles: 150.08 150.08 42.83
Each line ends with the local moment (μB).
Positions (direct):
Al  0.595  0.595  0.000  0.00
Al  0.405  0.405  0.000  0.00
Co  0.000  0.000  0.000  1.35
Ag  0.250  0.750  0.500  0.00
Ag  0.750  0.250  0.500  0.00

5.
Material: Al2CoAg
Method: DFT, PBE
State: relaxed

Summary:
Volume ... 57.80 Å³/cell
Calculated total energy ... -4.295 eV per atom

abc: 4.340 4.340 4.340
angles: 60.00 60.00 60.00
Each line ends with the local moment (μB).
Positions (direct):
Co  0.500  0.500  0.500  0.27
Al  0.000  0.000  0.000  0.00
Al  0.250  0.250  0.250  0.00
Ag  0.750  0.750  0.750  0.00

6.
Material: Al6CoAg2
Method: DFT, PBE
State: relaxed

Summary:
Volume ... 148.78 Å³/cell
Calculated total energy ... -4.029 eV per atom

abc: 3.907 5.911 7.088
angles: 114.64 90.00 90.00
Positions (direct):
Al  0.500  0.602  0.000
Al  0.500  0.354  0.339
Al  0.500  0.015  0.661
Al  0.000  0.280  0.000
Al  0.000  0.777  0.795
Al  0.000  0.982  0.205
Co  0.500  0.002  0.000
Ag  0.000  0.295  0.604
Ag  0.000  0.691  0.396

7.
Material: AlCo2Ag
Method: DFT, PBE
State: relaxed

Summary:
Volume ... 53.63 Å³/cell
Calculated total energy ... -5.095 eV per atom

abc: 8.631 8.631 8.631
angles: 18.00 18.00 18.00
Each line ends with the local moment (μB).
Positions (direct):
Co  0.007  0.007  0.007  1.21
Co  0.493  0.493  0.493  1.21
Al  0.750  0.750  0.750  -0.03
Ag  0.250  0.250  0.250  -0.01

8.
Material: AlCo2Ag
Method: DFT, PBE
State: relaxed

Summary:
Volume ... 52.94 Å³/cell
Calculated total energy ... -5.103 eV per atom

abc: 4.576 4.576 4.576
angles: 131.31 131.31 71.33
Each line ends with the local moment (μB).
Positions (direct):
Co  0.000  0.000  0.000  1.18
Co  0.500  0.500  0.000  1.18
Al  0.750  0.250  0.500  -0.03
Ag  0.250  0.750  0.500  0.02

9.
Material: AlCoAg
Method: DFT, PBE
State: relaxed

Summary:
Volume ... 42.11 Å³/cell
Calculated total energy ... -4.638 eV per atom

abc: 5.320 5.320 2.932
angles: 74.00 74.01 31.99
Positions (direct):
Co  0.312  0.312  0.688
Al  0.690  0.690  0.310
Ag  0.998  0.998  0.002

10.
Material: Al2CoAg
Method: DFT, PBE
State: relaxed

Summary:
Volume ... 58.16 Å³/cell
Calculated total energy ... -4.466 eV per atom

abc: 2.923 3.565 5.582
angles: 90.00 90.00 90.00
Positions (direct):
Co  0.000  0.000  0.446
Al  0.000  0.000  0.003
Al  0.500  0.500  0.291
Ag  0.500  0.500  0.760

11.
Material: Al2CoAg2
Method: DFT, PBE
State: relaxed

Summary:
Volume ... 87.91 Å³/cell
Calculated total energy ... -3.589 eV per atom

abc: 6.858 6.858 6.858
angles: 148.47 148.47 45.19
Each line ends with the local moment (μB).
Positions (direct):
Al  0.250  0.750  0.500  0.00
Al  0.750  0.250  0.500  0.00
Co  0.000  0.000  0.000  1.84
Ag  0.604  0.604  0.000  -0.02
Ag  0.396  0.396  0.000  -0.02

12.
Material: AlCoAg4
Method: DFT, PBE
State: relaxed

Summary:
Volume ... 109.96 Å³/cell
Calculated total energy ... -3.199 eV per atom

abc: 5.377 5.377 5.377
angles: 60.00 60.00 60.00
Each line ends with the local moment (μB).
Positions (direct):
Al  0.750  0.750  0.750  0.01
Co  0.000  0.000  0.000  1.92
Ag  0.875  0.375  0.375  0.01
Ag  0.375  0.375  0.875  0.01
Ag  0.375  0.875  0.375  0.01
Ag  0.375  0.375  0.375  0.01

13.
Material: AlCo2Ag
Method: DFT, PBE
State: relaxed

Summary:
Volume ... 53.66 Å³/cell
Calculated total energy ... -5.226 eV per atom

abc: 2.768 2.768 7.003
angles: 90.00 90.00 90.00
Each line ends with the local moment (μB).
Positions (direct):
Co  0.000  0.000  0.007  1.14
Co  0.500  0.500  0.210  1.74
Al  0.500  0.500  0.789  -0.01
Ag  0.000  0.000  0.494  -0.02

14.
Material: Al2CoAg2
Method: DFT, PBE
State: relaxed

Summary:
Volume ... 160.10 Å³/cell
Calculated total energy ... -3.921 eV per atom

abc: 6.243 6.243 4.108
angles: 90.00 90.00 90.00
Each line ends with the local moment (μB).
Positions (direct):
Co  0.000  0.000  0.000  0.49
Co  0.500  0.500  0.000  0.47
Al  0.346  0.846  0.000  0.00
Al  0.846  0.654  0.000  0.00
Al  0.654  0.154  0.000  0.00
Al  0.154  0.346  0.000  0.00
Ag  0.163  0.663  0.500  0.00
Ag  0.663  0.837  0.500  0.00
Ag  0.837  0.337  0.500  0.00
Ag  0.337  0.163  0.500  0.00

15.
Material: AlCo2Ag
Method: DFT, PBE
State: relaxed

Summary:
Volume ... 53.60 Å³/cell
Calculated total energy ... -5.090 eV per atom

abc: 2.824 4.420 5.451
angles: 51.98 90.00 90.00
Each line ends with the local moment (μB).
Positions (direct):
Co  0.000  0.000  0.000  1.62
Co  0.500  0.500  0.000  1.26
Al  0.000  0.000  0.500  -0.01
Ag  0.500  0.500  0.500  -0.01

16.
Material: Al2CoAg
Method: DFT, PBE
State: relaxed

Summary:
Volume ... 57.83 Å³/cell
Calculated total energy ... -4.402 eV per atom

abc: 2.889 4.847 5.263
angles: 51.70 90.00 90.00
Positions (direct):
Co  0.500  0.500  0.500
Al  0.000  0.000  0.000
Al  0.500  0.500  0.000
Ag  0.000  0.000  0.500

17.
Material: Al2CoAg
Method: DFT, PBE
State: relaxed

Summary:
Volume ... 127.13 Å³/cell
Calculated total energy ... -4.148 eV per atom

abc: 6.824 6.824 5.544
angles: 52.02 52.02 90.00
Positions (direct):
Co  0.500  0.500  0.000
Co  0.250  0.750  0.500
Al  0.587  0.125  0.250
Al  0.163  0.625  0.250
Al  0.375  0.413  0.750
Al  0.875  0.837  0.750
Ag  0.000  0.000  0.000
Ag  0.750  0.250  0.500

18.
Material: Al2CoAg
Method: DFT, PBE
State: relaxed

Summary:
Volume ... 59.90 Å³/cell
Calculated total energy ... -4.326 eV per atom

abc: 8.770 8.770 8.770
angles: 18.59 18.59 18.59
Each line ends with the local moment (μB).
Positions (direct):
Co  0.506  0.506  0.506  1.02
Al  0.998  0.998  0.998  -0.01
Al  0.243  0.243  0.243  -0.01
Ag  0.753  0.753  0.753  0.00